## NiB2PI (PBE)

Data for a relaxed NiB2PI crystal.

a b c (Å): 3.9132 3.9132 5.1762
angles (deg): 90.00 90.00 90.00
Closest atoms and distances in Å follow each position.
Space group P4/mmm (No. 123)
Symmetry-distinct sites (fractional):
Ni 0.0000 0.0000 0.0000  4 B 1.96
B 0.0000 0.5000 0.0000  2 Ni 1.96
P 0.0000 0.0000 0.5000  2 Ni 2.59, 4 I 2.77
I 0.5000 0.5000 0.5000  4 P 2.77

- E_form (uncorrected) (eV/f.u.) = 5.1